# ErUAgSe4

An optimized crystal structure of ErUAgSe4 (PBE, the Alexandria database).

The uncorrected energy is -40.87 eV/f.u. As for the theoretical density: 6.813 g cm⁻³.

The structure belongs to space group Imma (No. 74); the cell edges are 8.223, 8.409 and 11.689 Å and the angles 90.00°, 90.00° and 90.00°. The inequivalent atoms are Er at (0.250, 0.250, 0.250), U at (0.000, 0.000, 0.000), Ag at (0.000, 0.250, 0.632), Se at (0.000, 0.016, 0.242) and Se at (0.235, 0.250, 0.006).


# InAs2PdO8

An optimized crystal structure of InAs2PdO8 (PBE, the Alexandria database).

The uncorrected energy is -67.14 eV/f.u. As for the theoretical density: 5.421 g cm⁻³.

The structure belongs to space group I-4m2 (No. 119); the cell edges are 6.941, 6.941 and 6.345 Å and the angles 90.00°, 90.00° and 90.00°. The inequivalent atoms are In at (0.000, 0.000, 0.000), As at (0.000, 0.000, 0.500), As at (0.000, 0.500, 0.750), Pd at (0.000, 0.500, 0.250), O at (0.000, 0.182, 0.311) and O at (0.000, 0.314, 0.930).


# InGaIr

An optimized crystal structure of InGaIr (PBE, the Alexandria database).

For the energy of formation, the calculation gives -0.111 eV per atom. As for the theoretical density: 12.098 g cm⁻³.

The structure belongs to space group I4mm (No. 107); the cell edges are 3.396, 3.396 and 8.969 Å and the angles 90.00°, 90.00° and 90.00°. The inequivalent atoms are In at (0.000, 0.000, 0.000), Ga at (0.000, 0.000, 0.692) and Ir at (0.000, 0.000, 0.316).


# LaCuOs2

An optimized crystal structure of LaCuOs2 (PBE, the Alexandria database).

The value obtained for the energy above the lowest structure with this stoichiometry is 359 meV/atom. For the energy of formation, the calculation gives 0.616 eV per atom. As for the theoretical density: 14.012 g cm⁻³.

The structure belongs to space group R3m (No. 160, hexagonal axes); the cell edges are 2.8677, 2.8677 and 29.0974 Å and the angles 90.00°, 90.00° and 120.00°. The inequivalent atoms are La at (0.0000, 0.0000, 0.0000), Cu at (0.0000, 0.0000, 0.2393), Os at (0.0000, 0.0000, 0.5001) and Os at (0.0000, 0.0000, 0.7635).